The following is a PBE+U calculation of a geometry-optimized CrAgO4 structure, from the Alexandria database.

Values from the calculation:
Calculated total energy in eV/atom: -5.753
SG: C2/c, No. 15
Total moment in μB per formula unit: 0.000

Cell: 6.029 6.029 6.547 Å, 104.29 104.29 114.71°
Fractional positions:
Cr 0.139 0.861 0.750
Cr 0.861 0.139 0.250
Ag 0.249 0.751 0.250
Ag 0.751 0.249 0.750
O 0.107 0.635 0.882
O 0.149 0.246 0.442
O 0.246 0.149 0.942
O 0.365 0.893 0.618
O 0.635 0.107 0.382
O 0.754 0.851 0.058
O 0.851 0.754 0.558
O 0.893 0.365 0.118